# 1
# NiAgOs2 (PBE, optimized geometry)
data_NiAgOs2
_cell_length_a 2.747
_cell_length_b 4.534
_cell_length_c 4.683
_cell_angle_alpha 90.00
_cell_angle_beta 90.00
_cell_angle_gamma 90.00
_space_group_name_H-M_alt 'P m m m'
_space_group_IT_number 47
loop_
_space_group_symop_operation_xyz
'x,y,z'
'-x,-y,-z'
'-x,-y,z'
'x,y,-z'
'x,-y,-z'
'-x,y,z'
'-x,y,-z'
'x,-y,z'
loop_
_atom_site_label
_atom_site_fract_x
_atom_site_fract_y
_atom_site_fract_z
Ni1 0.000 0.000 0.000
Ag1 0.500 0.500 0.000
Os1 0.000 0.500 0.500
Os2 0.500 0.000 0.500
# Excess energy over the best structure of this formula in the dataset: 372 meV per atom
# Theoretical density: 15.57 g/cm³
# D(E_F): 1.34 states/eV/atom

=====

# 2
# Be2AlTlIn (PBE, optimized geometry)
data_Be2AlTlIn
_cell_length_a 4.507
_cell_length_b 4.507
_cell_length_c 5.658
_cell_angle_alpha 90.00
_cell_angle_beta 90.00
_cell_angle_gamma 90.00
_space_group_name_H-M_alt 'P 4/m m m'
_space_group_IT_number 123
_space_group_name_Hall '-P 4 2'
loop_
_atom_site_label
_atom_site_fract_x
_atom_site_fract_y
_atom_site_fract_z
Be1 0.000 0.500 0.000
Al1 0.000 0.000 0.000
Tl1 0.500 0.500 0.500
In1 0.000 0.000 0.500
# Theoretical density: 5.26 g/cm³
# D(E_F): 0.38 states/eV/atom

=====

| no. | ΔE_f (eV per atom) |
| --- | --- |
| 1 | 0.6688 |
| 2 | 0.7626 |